Entry 1:
This record from Alexandria describes a relaxed structure of InPb3Br. The functional is PBE.

abc: 5.783 5.783 5.783
angles: 90.00 90.00 90.00
Space group Pm-3m (No. 221)
Unique sites:
In 0.000 0.000 0.000 x1
Pb 0.000 0.500 0.500 x3
Br 0.500 0.500 0.500 x1

offset from the most stable computed form	72.2	meV/atom
E_tot	-2.720	eV per atom
total magnetization	0.00	μB per formula unit

=====

Entry 2:
This record from Alexandria describes a relaxed structure of In3Pb5Br12. The functional is PBE.

abc: 18.768 18.768 18.768
angles: 90.00 90.00 90.00
Space group Ia-3d (No. 230)
Unique sites:
In 0.000 0.250 0.125 x24
Pb 0.000 0.000 0.000 x16
Pb 0.000 0.250 0.375 x24
Br 0.027 0.067 0.647 x96

E_tot	-3.042	eV per atom
total magnetization	0.00	μB per formula unit

=====

Entry 3:
This record from Alexandria describes a relaxed structure of InPb2Br. The functional is PBE.

abc: 6.211 6.211 17.072
angles: 90.00 90.00 90.00
Space group I-42d (No. 122)
Unique sites:
In 0.000 0.000 0.000 x4
Pb 0.245 0.250 0.125 x8
Br 0.000 0.000 0.500 x4

offset from the most stable computed form	297.9	meV/atom
E_tot	-2.862	eV per atom
total magnetization	0.00	μB per formula unit

=====

It is found that the ΔE_f (raw) values, taken in the order of the records, are 387; -700; 95 meV per atom.